# PBE Na4Ac3PaTe8, optimized geometry
data_Na4Ac3PaTe8
_chemical_formula_sum 'Na12 Ac9 Pa3 Te24'
_cell_length_a 9.3826
_cell_length_b 9.3826
_cell_length_c 22.7623
_cell_angle_alpha 90.00
_cell_angle_beta 90.00
_cell_angle_gamma 120.00
_symmetry_space_group_name_H-M 'R -3 m'
_symmetry_Int_Tables_number 166
_symmetry_space_group_name_Hall '-R 3 2"'
loop_
_atom_site_label
_atom_site_type_symbol
_atom_site_fract_x
_atom_site_fract_y
_atom_site_fract_z
Na1 Na 0.0000 0.0000 0.0000
Na2 Na 0.0000 0.5000 0.0000
Ac1 Ac 0.0000 0.5000 0.5000
Pa1 Pa 0.0000 0.0000 0.5000
Te1 Te 0.0000 0.0000 0.2513
Te2 Te 0.0154 0.5077 0.2481
# **Formation energy without anion corrections**: -1.23 eV/atom

***

# PBE Na2AcPaTe4, optimized geometry
data_Na2AcPaTe4
_chemical_formula_sum 'Na4 Ac2 Pa2 Te8'
_cell_length_a 6.463
_cell_length_b 6.463
_cell_length_c 13.266
_cell_angle_alpha 90.00
_cell_angle_beta 90.00
_cell_angle_gamma 90.00
_symmetry_space_group_name_H-M 'I -4 m 2'
_symmetry_Int_Tables_number 119
_symmetry_space_group_name_Hall 'I -4 -2'
loop_
_atom_site_label
_atom_site_type_symbol
_atom_site_fract_x
_atom_site_fract_y
_atom_site_fract_z
Na1 Na 0.000 0.000 0.000
Na2 Na 0.000 0.500 0.250
Ac1 Ac 0.000 0.500 0.750
Pa1 Pa 0.000 0.000 0.500
Te1 Te 0.000 0.000 0.264
Te2 Te 0.000 0.500 0.002
# **Formation energy without anion corrections**: -1.06 eV/atom

***

# PBE NaAcPb, optimized geometry
data_NaAcPb
_chemical_formula_sum 'Na4 Ac4 Pb4'
_cell_length_a 7.804
_cell_length_b 7.804
_cell_length_c 7.804
_cell_angle_alpha 90.00
_cell_angle_beta 90.00
_cell_angle_gamma 90.00
_symmetry_space_group_name_H-M 'F -4 3 m'
_symmetry_Int_Tables_number 216
_symmetry_space_group_name_Hall 'F -4 2 3'
loop_
_atom_site_label
_atom_site_type_symbol
_atom_site_fract_x
_atom_site_fract_y
_atom_site_fract_z
Na1 Na 0.000 0.000 0.000
Ac1 Ac 0.000 0.000 0.500
Pb1 Pb 0.250 0.250 0.750
# **Polymorph energy (0 for the lowest one)**: 108 meV/atom

***

# PBE NaAc6Pb5, optimized geometry
data_NaAc6Pb5
_chemical_formula_sum 'Na2 Ac12 Pb10'
_cell_length_a 9.849
_cell_length_b 18.465
_cell_length_c 6.041
_cell_angle_alpha 90.00
_cell_angle_beta 127.76
_cell_angle_gamma 90.00
_symmetry_space_group_name_H-M 'C 1 2/m 1'
_symmetry_Int_Tables_number 12
_symmetry_space_group_name_Hall '-C 2y'
loop_
_atom_site_label
_atom_site_type_symbol
_atom_site_fract_x
_atom_site_fract_y
_atom_site_fract_z
Na1 Na 0.000 0.000 0.000
Ac1 Ac 0.228 0.500 0.228
Ac2 Ac 0.242 0.327 0.742
Pb1 Pb 0.000 0.152 0.500
Pb2 Pb 0.000 0.331 0.000
Pb3 Pb 0.000 0.500 0.500
# **E_tot**: -98.931 eV per cell

***

# PBE NaAc6Pb3, optimized geometry
data_NaAc6Pb3
_chemical_formula_sum 'Na4 Ac24 Pb12'
_cell_length_a 13.319
_cell_length_b 12.780
_cell_length_c 9.321
_cell_angle_alpha 90.00
_cell_angle_beta 90.00
_cell_angle_gamma 90.00
_symmetry_space_group_name_H-M 'C m c 21'
_symmetry_Int_Tables_number 36
_symmetry_space_group_name_Hall 'C 2c -2'
loop_
_atom_site_label
_atom_site_type_symbol
_atom_site_fract_x
_atom_site_fract_y
_atom_site_fract_z
Na1 Na 0.000 0.127 0.000
Ac1 Ac 0.000 0.347 0.256
Ac2 Ac 0.000 0.347 0.745
Ac3 Ac 0.170 0.000 0.250
Ac4 Ac 0.240 0.242 0.500
Pb1 Pb 0.000 0.135 0.501
Pb2 Pb 0.141 0.498 0.500
# **E_tot**: -161.139 eV per cell

***

# PBE Na3Ac4Pb4, optimized geometry
data_Na3Ac4Pb4
_chemical_formula_sum 'Na6 Ac8 Pb8'
_cell_length_a 5.332
_cell_length_b 8.416
_cell_length_c 19.674
_cell_angle_alpha 90.00
_cell_angle_beta 90.00
_cell_angle_gamma 90.00
_symmetry_space_group_name_H-M 'I m m m'
_symmetry_Int_Tables_number 71
_symmetry_space_group_name_Hall '-I 2 2'
loop_
_atom_site_label
_atom_site_type_symbol
_atom_site_fract_x
_atom_site_fract_y
_atom_site_fract_z
Na1 Na 0.000 0.000 0.000
Na2 Na 0.000 0.500 0.079
Ac1 Ac 0.000 0.258 0.332
Pb1 Pb 0.000 0.000 0.189
Pb2 Pb 0.000 0.189 0.500
# **E_tot**: -73.866 eV per cell

***

# PBE Na2AcPb, optimized geometry
data_Na2AcPb
_chemical_formula_sum 'Na4 Ac2 Pb2'
_cell_length_a 5.440
_cell_length_b 6.625
_cell_length_c 7.717
_cell_angle_alpha 90.00
_cell_angle_beta 90.00
_cell_angle_gamma 90.00
_symmetry_space_group_name_H-M 'P m m n'
_symmetry_Int_Tables_number 59
loop_
_symmetry_equiv_pos_as_xyz
'x,y,z'
'-x,-y,-z'
'-x+1/2,-y+1/2,z'
'x+1/2,y+1/2,-z'
'x+1/2,-y,-z'
'-x+1/2,y,z'
'-x,y+1/2,-z'
'x,-y+1/2,z'
loop_
_atom_site_label
_atom_site_type_symbol
_atom_site_fract_x
_atom_site_fract_y
_atom_site_fract_z
Na1 Na 0.250 0.001 0.116
Ac1 Ac 0.250 0.250 0.560
Pb1 Pb 0.250 0.750 0.724
# **E_tot**: -22.476 eV per cell

***

# PBE NaAc2Pb, optimized geometry
data_NaAc2Pb
_chemical_formula_sum 'Na4 Ac8 Pb4'
_cell_length_a 8.326
_cell_length_b 8.326
_cell_length_c 8.326
_cell_angle_alpha 90.00
_cell_angle_beta 90.00
_cell_angle_gamma 90.00
_symmetry_space_group_name_H-M 'F m -3 m'
_symmetry_Int_Tables_number 225
_symmetry_space_group_name_Hall '-F 4 2 3'
loop_
_atom_site_label
_atom_site_type_symbol
_atom_site_fract_x
_atom_site_fract_y
_atom_site_fract_z
Na1 Na 0.000 0.000 0.000
Ac1 Ac 0.250 0.250 0.250
Pb1 Pb 0.000 0.000 0.500
# **Polymorph energy (0 for the lowest one)**: 2 meV/atom

***

Question: What is the formula in the sixth record?
Answer: Na3Ac4Pb4